A relaxed structure of Zr2TiPb2. Source: the Alexandria database, functional PBE.

abc: 7.5694 7.5694 4.0541
angles: 90.00 90.00 90.00
With the nearest neighbours (Å) after each atom.
Atoms (fractional coordinates):
Pb1 0.6438 0.1438 0.0000  2 Ti 2.91, 6 Zr 2.91-3.08, 1 Pb 3.08
Pb2 0.3562 0.8562 0.0000  2 Ti 2.91, 6 Zr 2.91-3.08, 1 Pb 3.08
Pb3 0.1438 0.3562 0.0000  2 Ti 2.91, 6 Zr 2.91-3.08, 1 Pb 3.08
Pb4 0.8562 0.6438 0.0000  2 Ti 2.91, 6 Zr 2.91-3.08, 1 Pb 3.08
Zr1 0.1614 0.6614 0.5000  6 Pb 2.91-3.08
Zr2 0.6614 0.8386 0.5000  6 Pb 2.91-3.08
Zr3 0.8386 0.3386 0.5000  6 Pb 2.91-3.08
Zr4 0.3386 0.1614 0.5000  6 Pb 2.91-3.08
Ti1 0.5000 0.5000 0.0000  4 Pb 2.91
Ti2 0.0000 0.0000 0.0000  4 Pb 2.91

Calculated values
ΔE_f: -58 meV per atom
calculated total energy: -6.539 eV per atom
D(E_F): 11.21 states/eV per cell
mass density: 9218 kg/m³
size of the total moment: 1.706 μB/cell
space group: P4/mbm, No. 127